Compound: GaSi2Ag
Source: Alexandria
Functional: PBEsol
Structure: optimized geometry

a b c (Å): 7.177 5.709 7.177
angles (deg): 51.05 90.00 128.95
Element x y z (fractional)
Ag  0.000  0.000  0.000
Si  0.375  0.250  0.128
Si  0.128  0.750  0.875
Si  0.875  0.250  0.622
Ga  0.250  0.500  0.250
Ag  0.750  0.500  0.750
Si  0.622  0.750  0.375
Ga  0.500  0.000  0.500

Calculated values
Space group: I-42d, No. 122
ρ (g/cm3): 5.77
Calculated total energy (eV per cell): -33.7
Energy relative to the elements, uncorrected (eV/atom): 0.327
Total magnetization (μB per formula unit): 0.00



Compound: LiAlBr
Source: Alexandria
Functional: PBEsol
Structure: optimized geometry

a b c (Å): 3.367 3.367 6.182
angles (deg): 105.80 105.80 90.00
Element x y z (fractional)
Al  0.028  0.028  0.056
Li  0.696  0.696  0.392
Br  0.276  0.276  0.552

Calculated values
Space group: I4mm, No. 107
ρ (g/cm3): 2.92
Calculated total energy (eV per cell): -9.2
Energy relative to the elements, uncorrected (eV/atom): -0.413
Total magnetization (μB per formula unit): 0.00



Compound: HgB2F2
Source: Alexandria
Functional: PBEsol
Structure: optimized geometry

a b c (Å): 3.692 5.593 5.593
angles (deg): 90.00 90.00 90.00
Element x y z (fractional)
F  0.500  0.153  0.653
F  0.500  0.847  0.347
B  0.000  0.603  0.103
B  0.000  0.103  0.397
B  0.000  0.897  0.603
Hg  0.000  0.500  0.500
F  0.500  0.347  0.153
Hg  0.000  0.000  0.000
F  0.500  0.653  0.847
B  0.000  0.397  0.897

Calculated values
Space group: P4/mbm, No. 127
ρ (g/cm3): 7.48
Calculated total energy (eV per cell): -34.9
Polymorph energy (0 for the lowest one) (eV per atom): 0.000
Energy relative to the elements, uncorrected (eV/atom): 0.202
Total magnetization (μB per formula unit): 0.00



Compound: ZnTeSN2
Source: Alexandria
Functional: PBEsol
Structure: optimized geometry

a b c (Å): 3.913 3.913 4.696
angles (deg): 90.00 90.00 90.00
Last column: magnetic moment on the atom in μB.
Element x y z (fractional)
Te  0.500  0.500  0.500  -0.08
S  0.000  0.000  0.500  0.08
N  0.000  0.500  0.000  0.53
N  0.500  0.000  0.000  0.53
Zn  0.000  0.000  0.000  0.03

Calculated values
Space group: P4/mmm, No. 123
ρ (g/cm3): 5.84
Calculated total energy (eV per cell): -19.7
Polymorph energy (0 for the lowest one) (eV per atom): 0.065
Energy relative to the elements, uncorrected (eV/atom): 1.378
Total magnetization (μB per formula unit): 1.48



Compound: Tl2FeAu
Source: Alexandria
Functional: PBEsol
Structure: optimized geometry

a b c (Å): 4.855 4.855 4.855
angles (deg): 60.00 60.00 60.00
Last column: magnetic moment on the atom in μB.
Element x y z (fractional)
Fe  0.250  0.250  0.250  2.91
Tl  0.000  0.000  0.000  -0.02
Au  0.500  0.500  0.500  0.03
Tl  0.750  0.750  0.750  0.00

Calculated values
Space group: F-43m, No. 216
ρ (g/cm3): 13.58
Calculated total energy (eV per cell): -15.9
E_form (kJ/mol of atoms): 55
Total magnetization (μB per formula unit): 2.97



Compound: Li4MnCo3O8
Source: Alexandria
Functional: PBEsol
Structure: optimized geometry

a b c (Å): 2.820 4.906 9.365
angles (deg): 100.31 90.00 90.00
Last column: magnetic moment on the atom in μB.
Element x y z (fractional)
O  0.500  0.348  0.129  0.01
Li  0.500  0.246  0.752  0.00
O  0.000  0.394  0.622  -0.02
O  0.000  0.094  0.880  0.00
Li  0.000  0.500  0.000  0.00
Co  0.000  0.748  0.751  0.11
Li  0.000  0.000  0.500  0.00
Co  0.000  0.252  0.249  0.11
Co  0.500  0.000  0.000  -0.01
O  0.500  0.152  0.370  -0.01
O  0.500  0.848  0.630  -0.01
O  0.500  0.652  0.871  0.01
O  0.000  0.606  0.378  -0.02
Mn  0.500  0.500  0.500  -2.09
O  0.000  0.906  0.120  0.00
Li  0.500  0.754  0.248  0.00

Calculated values
Space group: P2/m, No. 10
ρ (g/cm3): 5.05
Calculated total energy (eV per cell): -108.2
Polymorph energy (0 for the lowest one) (eV per atom): 0.000
Energy relative to the elements, uncorrected (eV/atom): -1.587
Total magnetization (μB per formula unit): 1.97



Compound: Fe3Co4
Source: Alexandria
Functional: PBEsol
Structure: optimized geometry

a b c (Å): 2.420 6.057 6.047
angles (deg): 117.65 97.83 98.39
Last column: magnetic moment on the atom in μB.
Element x y z (fractional)
Fe  0.858  0.645  0.429  2.56
Co  0.419  0.072  0.717  1.73
Fe  0.142  0.355  0.571  2.56
Fe  0.000  0.500  0.000  2.55
Co  0.581  0.928  0.283  1.73
Co  0.269  0.217  0.145  1.73
Co  0.731  0.783  0.855  1.73

Calculated values
Space group: P-1, No. 2
ρ (g/cm3): 8.86
Calculated total energy (eV per cell): -57.5
Polymorph energy (0 for the lowest one) (eV per atom): 0.039
E_form (kJ/mol of atoms): 4
Total magnetization (μB per formula unit): 14.51



Compound: Be2NiRu
Source: Alexandria
Functional: PBEsol
Structure: optimized geometry

a b c (Å): 2.673 2.673 5.383
angles (deg): 90.00 90.00 90.00
Element x y z (fractional)
Be  0.000  0.000  0.769
Ni  0.500  0.500  0.000
Ru  0.500  0.500  0.500
Be  0.000  0.000  0.231

Calculated values
Space group: P4/mmm, No. 123
ρ (g/cm3): 7.67
Calculated total energy (eV per cell): -25.6
E_form (kJ/mol of atoms): -30
Total magnetization (μB per formula unit): 0.00



Compound: YMg2Fe
Source: Alexandria
Functional: PBEsol
Structure: optimized geometry

a b c (Å): 3.194 5.194 6.027
angles (deg): 115.54 90.00 107.91
Last column: magnetic moment on the atom in μB.
Element x y z (fractional)
Mg  0.938  0.877  0.017  -0.01
Mg  0.728  0.457  0.247  -0.01
Y  0.551  0.103  0.607  -0.28
Fe  0.282  0.563  0.630  1.88

Calculated values
Space group: Cm, No. 8
ρ (g/cm3): 3.79
Calculated total energy (eV per cell): -18.2
E_form (kJ/mol of atoms): 23
Total magnetization (μB per formula unit): 1.43



Compound: KBe2Se
Source: Alexandria
Functional: PBEsol
Structure: optimized geometry

a b c (Å): 3.258 3.258 7.284
angles (deg): 90.00 90.00 90.00
Element x y z (fractional)
K  0.500  0.500  0.000
Se  0.500  0.500  0.500
Be  0.000  0.000  0.645
Be  0.000  0.000  0.355

Calculated values
Space group: P4/mmm, No. 123
ρ (g/cm3): 2.92
Calculated total energy (eV per cell): -10.9
Energy relative to the elements, uncorrected (eV/atom): 0.521
Total magnetization (μB per formula unit): 0.00



Compound: NiF2
Source: Alexandria
Functional: PBEsol
Structure: optimized geometry

a b c (Å): 3.069 4.601 4.601
angles (deg): 90.00 90.00 90.00
Last column: magnetic moment on the atom in μB.
Element x y z (fractional)
F  0.000  0.304  0.304  0.14
Ni  0.500  0.500  0.500  1.70
F  0.000  0.696  0.696  0.14
F  0.500  0.804  0.196  0.14
F  0.500  0.196  0.804  0.14
Ni  0.000  0.000  0.000  1.70

Calculated values
Space group: P4_2/mnm, No. 136
ρ (g/cm3): 4.94
Calculated total energy (eV per cell): -29.7
Energy relative to the elements, uncorrected (eV/atom): -1.604
Total magnetization (μB per formula unit): 2.00



Compound: KAl4Cu
Source: Alexandria
Functional: PBEsol
Structure: optimized geometry

a b c (Å): 5.505 5.505 5.505
angles (deg): 60.00 60.00 60.00
Element x y z (fractional)
Al  0.375  0.876  0.375
Al  0.876  0.375  0.375
Al  0.375  0.375  0.375
Al  0.375  0.375  0.876
K  0.000  0.000  0.000
Cu  0.750  0.750  0.750

Calculated values
Space group: F-43m, No. 216
ρ (g/cm3): 2.96
Calculated total energy (eV per cell): -19.5
E_form (kJ/mol of atoms): 37
Total magnetization (μB per formula unit): 0.00